VASP calculation (GGA-PBEsol) on a geometry-optimized LiV3O4F2 structure.

Values from the calculation:
DOS(E_F)   5.75 states/eV/f.u.
Calculated volume   401.1 Å³/cell
Energy relative to the lowest polymorph listed for this composition   1.3 kJ/mol of atoms
M_tot   0.600 μB/atom

a b c (Å): 9.9501 8.3058 4.8529
angles (deg): 90.00 90.00 90.00
Last column: nearest neighbours and their distance in Å.
Space group Pnma (No. 62)
Unique sites:
Li (0.2164, 0.2500, 0.0466) x4  4 O 1.76-1.92
V (0.1040, 0.7500, 0.9576) x4  4 O 1.90-1.99, 2 F 2.12
V (0.1420, 0.0800, 0.4888) x8  4 O 1.92-1.99, 2 F 2.08-2.12
O (0.0548, 0.2500, 0.2599) x4  3 V 1.90-1.99, 1 Li 1.91
O (0.1987, 0.5811, 0.7546) x8  1 Li 1.92, 3 V 1.94-1.96
O (0.2300, 0.2500, 0.6856) x4  1 Li 1.76, 2 V 1.92
F (0.0331, 0.5891, 0.2637) x8  3 V 2.08-2.12


VASP calculation (GGA-PBEsol) on a geometry-optimized LiV3O5F3 structure.

Values from the calculation:
DOS(E_F)   4.21 states/eV/f.u.
Calculated volume   281.9 Å³/cell
Energy relative to the lowest polymorph listed for this composition   6.6 kJ/mol of atoms
M_tot   0.250 μB/atom

a b c (Å): 6.5511 3.7019 12.0029
angles (deg): 90.00 104.46 90.00
Last column: nearest neighbours and their distance in Å.
Space group Pm (No. 6)
Unique sites:
Li (0.0000, 0.0000, 0.0000) x1  2 O 1.97-2.10, 2 F 2.12
Li (0.3308, 0.5000, 0.3868) x1  1 F 1.87
V (0.0338, 0.5000, 0.7660) x1  1 O 1.65
V (0.2515, 0.0000, 0.6163) x1  1 O 1.60
V (0.4431, 0.0000, 0.9041) x1  1 O 1.60
V (0.4785, 0.0000, 0.1763) x1  4 O 1.73-1.90, 1 F 1.84
V (0.8418, 0.5000, 0.2378) x1  1 O 1.70, 1 F 1.83
V (0.8990, 0.5000, 0.5198) x1  1 F 1.83, 4 O 1.89-2.03
O (0.1223, 0.0000, 0.7876) x1  2 V 1.94
O (0.1925, 0.5000, 0.6431) x1  4 V 1.93-2.11
O (0.3312, 0.0000, 0.0353) x1  2 V 1.73-1.90
O (0.3607, 0.0000, 0.5109) x1  1 V 1.60
O (0.5414, 0.5000, 0.2017) x1  3 V 1.90-1.91
O (0.6898, 0.0000, 0.9667) x1  1 V 1.60
O (0.7751, 0.0000, 0.2111) x1  3 V 1.88-1.91
O (0.8063, 0.5000, 0.6689) x1  1 V 1.65
O (0.9586, 0.0000, 0.5380) x1  3 V 1.89-1.91
O (0.9895, 0.5000, 0.3764) x1  1 V 1.70
F (0.0049, 0.5000, 0.1344) x1  1 V 1.83
F (0.3183, 0.0000, 0.2822) x1  1 V 1.84
F (0.3816, 0.5000, 0.8788) x1  2 V 1.90
F (0.4919, 0.0000, 0.7477) x1  2 V 1.93-1.98
F (0.6246, 0.5000, 0.4361) x1  1 V 1.83, 1 Li 1.87
F (0.9812, 0.5000, 0.9111) x1  1 V 1.86


VASP calculation (GGA-PBEsol) on a geometry-optimized LiWO2F structure.

Values from the calculation:
DOS(E_F)   2.52 states/eV/f.u.
Calculated volume   40.4 Å³/cell
Raw total energy   -6.48 eV per atom
M_tot   0.127 μB/atom

a b c (Å): 3.6316 3.6316 3.0628
angles (deg): 90.00 90.00 90.00
Last column: nearest neighbours and their distance in Å.
Space group P4/mmm (No. 123)
Unique sites:
Li (0.0000, 0.0000, 0.0000) x1  2 F 1.53
W (0.5000, 0.5000, 0.5000) x1  8 O 2.38, 4 F 2.57
O (0.0000, 0.5000, 0.0000) x2  2 Li 1.82
F (0.0000, 0.0000, 0.5000) x1  2 Li 1.53


VASP calculation (GGA-PBEsol) on a geometry-optimized Li2WO2F4 structure.

Values from the calculation:
DOS(E_F)   0.00 states/eV/f.u.
Calculated volume   395.4 Å³/cell
Raw total energy   -6.65 eV per atom
M_tot   0.000 μB/atom

a b c (Å): 4.6417 17.2302 4.9445
angles (deg): 90.00 90.00 90.00
Last column: nearest neighbours and their distance in Å.
Space group Pbcn (No. 60)
Unique sites:
Li (0.0000, 0.0468, 0.2500) x4  2 F 2.08, 4 O 2.08-2.11
Li (0.0000, 0.2672, 0.7500) x4  4 F 1.92-2.01
W (0.0000, 0.3916, 0.2500) x4  2 O 1.75, 2 F 1.93
O (0.2470, 0.4550, 0.0974) x8  1 W 1.75
F (0.2112, 0.2980, 0.0874) x8  2 Li 1.92-2.01, 1 W 2.05
F (0.2337, 0.3722, 0.5648) x8  1 W 1.93, 1 Li 2.08


VASP calculation (GGA-PBEsol) on a geometry-optimized Li3OsF structure.

Values from the calculation:
DOS(E_F)   4.80 states/eV/f.u.
Calculated volume   59.2 Å³/cell
Raw total energy   -4.30 eV per atom
M_tot   0.302 μB/atom

a b c (Å): 3.8982 3.8982 3.8982
angles (deg): 90.00 90.00 90.00
Last column: nearest neighbours and their distance in Å.
Space group Pm-3m (No. 221)
Unique sites:
Li (0.0000, 0.0000, 0.5000) x3  2 F 1.95
Os (0.5000, 0.5000, 0.5000) x1  12 Li 2.76
F (0.0000, 0.0000, 0.0000) x1  6 Li 1.95


VASP calculation (GGA-PBEsol) on a geometry-optimized LiPF6 structure.

Values from the calculation:
DOS(E_F)   0.00 states/eV/f.u.
Calculated volume   264.6 Å³/cell
Raw total energy   -5.20 eV per atom
M_tot   0.000 μB/atom

a b c (Å): 4.9202 4.9202 12.6224
angles (deg): 90.00 90.00 120.00
Last column: nearest neighbours and their distance in Å.
Space group R-3 (No. 148, hexagonal axes)
Unique sites:
Li (0.0000, 0.0000, 0.0000) x3  6 F 2.02
P (0.0000, 0.0000, 0.5000) x3  6 F 1.63
F (0.0401, 0.6110, 0.2410) x18  1 P 1.63


VASP calculation (GGA-PBEsol) on a geometry-optimized LiP2F structure.

Values from the calculation:
DOS(E_F)   1.11 states/eV/f.u.
Calculated volume   248.9 Å³/cell
Raw total energy   -4.88 eV per atom
M_tot   0.000 μB/atom

a b c (Å): 3.1091 3.1091 25.7438
angles (deg): 90.00 90.00 90.00
Last column: nearest neighbours and their distance in Å.
Space group I-42d (No. 122)
Unique sites:
Li (0.0000, 0.0000, 0.0000) x4  4 F 2.20
P (0.2498, 0.2500, 0.1250) x8  4 P 2.20
F (0.0000, 0.0000, 0.5000) x4  4 Li 2.20


VASP calculation (GGA-PBEsol) on a geometry-optimized RbLiP2F structure.

Values from the calculation:
DOS(E_F)   2.65 states/eV/f.u.
Calculated volume   101.0 Å³/cell
Raw total energy   -3.37 eV per atom
M_tot   0.000 μB/atom

a b c (Å): 4.4905 4.4905 5.0069
angles (deg): 90.00 90.00 90.00
Last column: nearest neighbours and their distance in Å.
Space group P4/mmm (No. 123)
Unique sites:
Rb (0.0000, 0.0000, 0.0000) x1  2 F 2.50
Li (0.5000, 0.5000, 0.0000) x1  4 Rb 3.18, 8 P 3.36
P (0.0000, 0.5000, 0.5000) x2  2 F 2.25
F (0.0000, 0.0000, 0.5000) x1  4 P 2.25, 2 Rb 2.50